No. 1
# Y2ScPt2 (PBE, optimized geometry)
data_Y2ScPt2
_space_group_name_H-M_alt 'I 4/m m m'
_space_group_IT_number 139
_space_group_name_Hall '-I 4 2'
_cell_length_a 4.5979
_cell_length_b 4.5979
_cell_length_c 11.6176
_cell_angle_alpha 90.00
_cell_angle_beta 90.00
_cell_angle_gamma 90.00
loop_
_atom_site_label
_atom_site_fract_x
_atom_site_fract_y
_atom_site_fract_z
_atom_site_occupancy
Y1 0.0000 0.5000 0.2500 1
Sc1 0.0000 0.0000 0.0000 1
Pt1 0.0000 0.0000 0.3901 1
# calculated volume = 245.6 Å³/cell
# total magnetic moment = 0.974 μB per formula unit
# calculated formation energy = -0.67 eV/atom

---

No. 2
# YScPt2 (PBE, optimized geometry)
data_YScPt2
_space_group_name_H-M_alt 'F -4 3 m'
_space_group_IT_number 216
_space_group_name_Hall 'F -4 2 3'
_cell_length_a 6.6516
_cell_length_b 6.6516
_cell_length_c 6.6516
_cell_angle_alpha 90.00
_cell_angle_beta 90.00
_cell_angle_gamma 90.00
loop_
_atom_site_label
_atom_site_fract_x
_atom_site_fract_y
_atom_site_fract_z
_atom_site_occupancy
Y1 0.0000 0.0000 0.0000 1
Sc1 0.2500 0.2500 0.2500 1
Pt1 0.0000 0.0000 0.5000 1
Pt2 0.2500 0.2500 0.7500 1
# calculated volume = 294.3 Å³/cell
# total magnetic moment = 0.001 μB per formula unit
# calculated formation energy = -0.79 eV/atom

---

No. 3
# ScZn2Pt (PBE, optimized geometry)
data_ScZn2Pt
_space_group_name_H-M_alt 'I 4/m m m'
_space_group_IT_number 139
_space_group_name_Hall '-I 4 2'
_cell_length_a 4.2196
_cell_length_b 4.2196
_cell_length_c 7.0053
_cell_angle_alpha 90.00
_cell_angle_beta 90.00
_cell_angle_gamma 90.00
loop_
_atom_site_label
_atom_site_fract_x
_atom_site_fract_y
_atom_site_fract_z
_atom_site_occupancy
Sc1 0.0000 0.0000 0.0000 1
Zn1 0.0000 0.5000 0.2500 1
Pt1 0.0000 0.0000 0.5000 1
# calculated volume = 124.7 Å³/cell
# total magnetic moment = 0.000 μB per formula unit
# calculated formation energy = -0.66 eV/atom

---

No. 4
# ScZn2Pt (PBE, optimized geometry)
data_ScZn2Pt
_space_group_name_H-M_alt 'I 4/m m m'
_space_group_IT_number 139
_space_group_name_Hall '-I 4 2'
_cell_length_a 4.4601
_cell_length_b 4.4601
_cell_length_c 6.2789
_cell_angle_alpha 90.00
_cell_angle_beta 90.00
_cell_angle_gamma 90.00
loop_
_atom_site_label
_atom_site_fract_x
_atom_site_fract_y
_atom_site_fract_z
_atom_site_occupancy
Sc1 0.0000 0.0000 0.0000 1
Zn1 0.0000 0.5000 0.2500 1
Pt1 0.0000 0.0000 0.5000 1
# calculated volume = 124.9 Å³/cell
# total magnetic moment = 0.003 μB per formula unit
# calculated formation energy = -0.67 eV/atom